YPaSn2: relaxed, PBE.

Geometry as extended XYZ:
```
4
Lattice="3.400 0.000 0.000 0.000 3.400 0.000 0.000 0.000 8.976" Properties=species:S:1:pos:R:3 pbc="T T T"
Y 0.000 0.000 0.000
Pa 0.000 0.000 4.488
Sn 1.700 1.700 2.236
Sn 1.700 1.700 6.740
```

Results
**DOS(E_F)**: 5.634 states/eV/f.u.
**Total magnetic moment**: 0.45 μB per formula unit
**Space-group type**: No. 123
**Energy of formation**: -0.39 eV/atom
**V**: 103.8 Å³/f.u.
**E_tot**: -6.39 eV/atom